1.
Density functional theory data (GGA-PBE) for a relaxed AcLa2Dy2Y2 crystal.

Lattice parameters (Å, degrees): 5.2216 6.3895 8.1747 97.87 90.00 114.12
Last column: nearest neighbours and their distance in Å.
Element x y z (fractional)
La 0.7152 0.4304 0.1476  3 Y 3.59-3.68, 4 Dy 3.67-3.75, 3 Ac 3.70, 2 La 3.73
La 0.2848 0.5696 0.8524  3 Y 3.59-3.68, 4 Dy 3.67-3.75, 3 Ac 3.70, 2 La 3.73
Y 0.1417 0.2834 0.4318  3 La 3.59-3.68, 5 Dy 3.60-3.68, 3 Y 3.64-3.69, 1 Ac 3.67
Y 0.8583 0.7166 0.5682  3 La 3.59-3.68, 5 Dy 3.60-3.68, 3 Y 3.64-3.69, 1 Ac 3.67
Dy 0.5737 0.1475 0.7045  1 Dy 3.52, 5 Y 3.60-3.68, 4 La 3.67-3.75, 2 Ac 3.74
Dy 0.4263 0.8525 0.2955  1 Dy 3.52, 5 Y 3.60-3.68, 4 La 3.67-3.75, 2 Ac 3.74
Ac 0.0000 0.0000 0.0000  2 Y 3.67, 6 La 3.70, 4 Dy 3.74

Values from the calculation:
The value obtained for the formation energy is 43 meV/atom. For the total moment, the calculation gives 0.0 μB/f.u. Its space group is C2/m, No. 12.

=====

2.
Density functional theory data (GGA-PBE) for a relaxed AcLa5Dy2Y crystal.

Lattice parameters (Å, degrees): 9.4937 9.4937 10.0160 118.29 118.29 90.00
Last column: nearest neighbours and their distance in Å.
Element x y z (fractional)
Dy 0.8903 0.6097 0.0000  1 Dy 2.94, 2 La 3.19
Dy 0.6097 0.1097 0.0000  1 Dy 2.94, 2 La 3.19
Dy 0.3903 0.8903 0.0000  1 Dy 2.94, 2 La 3.19
Dy 0.1097 0.3903 0.0000  1 Dy 2.94, 2 La 3.19
La 0.4281 0.3261 0.2542  1 Dy 3.19, 1 Y 3.24
La 0.6739 0.1739 0.7458  1 Dy 3.19, 1 Y 3.24
La 0.3261 0.8261 0.2542  1 Dy 3.19, 1 Y 3.24
La 0.0000 0.0000 0.0000  2 Ac 3.72, 4 Dy 3.85, 8 La 3.91
La 0.8261 0.9281 0.2542  1 Dy 3.19, 1 Y 3.24
La 0.5719 0.6739 0.7458  1 Dy 3.19, 1 Y 3.24
La 0.1739 0.0719 0.7458  1 Dy 3.19, 1 Y 3.24
La 0.9281 0.4281 0.2542  1 Dy 3.19, 1 Y 3.24
La 0.5000 0.5000 0.0000  2 Ac 3.72, 4 Dy 3.85, 8 La 3.91
La 0.0719 0.5719 0.7458  1 Dy 3.19, 1 Y 3.24
Ac 0.7500 0.7500 0.5000  10 La 3.72-3.88
Ac 0.2500 0.2500 0.5000  10 La 3.72-3.88
Y 0.2500 0.7500 0.5000  4 La 3.24
Y 0.7500 0.2500 0.5000  4 La 3.24

Values from the calculation:
The value obtained for the formation energy is 264 meV/atom. For the total moment, the calculation gives 0.0 μB/f.u. Its space group is I4/mcm, No. 140.

=====

3.
Density functional theory data (GGA-PBE) for a relaxed Li4AcDy crystal.

Lattice parameters (Å, degrees): 6.0535 6.0535 6.0535 60.00 60.00 60.00
Last column: nearest neighbours and their distance in Å.
Element x y z (fractional)
Li 0.6232 0.6232 0.6232  6 Li 2.98-3.07
Li 0.1304 0.6232 0.6232  6 Li 2.98-3.07
Li 0.6232 0.1304 0.6232  6 Li 2.98-3.07
Li 0.6232 0.6232 0.1304  6 Li 2.98-3.07
Dy 0.2500 0.2500 0.2500  12 Li 3.54, 4 Ac 3.71
Ac 0.0000 0.0000 0.0000  12 Li 3.55, 4 Dy 3.71

Values from the calculation:
The value obtained for the formation energy is 99 meV/atom. For the total moment, the calculation gives 0.0 μB/f.u. Its space group is F-43m, No. 216.

=====

4.
Density functional theory data (GGA-PBE) for a relaxed LiAcDy2 crystal.

Lattice parameters (Å, degrees): 3.8475 5.8190 5.8190 90.00 90.00 90.00
Last column: nearest neighbours and their distance in Å.
Element x y z (fractional)
Dy 0.0000 0.0000 0.5000  4 Ac 3.49, 4 Li 3.49, 2 Dy 3.85
Dy 0.0000 0.5000 0.0000  4 Li 3.49, 4 Ac 3.49, 2 Dy 3.85
Ac 0.5000 0.5000 0.5000  8 Dy 3.49, 2 Ac 3.85
Li 0.5000 0.0000 0.0000  8 Dy 3.49, 2 Li 3.85

Values from the calculation:
For the energy above the most stable polymorph in this dataset, the calculation gives 0.133 eV/atom. The value obtained for the formation energy is 238 meV/atom. For the total moment, the calculation gives 0.0 μB/f.u. Its space group is P4/mmm, No. 123.

=====

5.
Density functional theory data (GGA-PBE) for a relaxed LiAcDy crystal.

Lattice parameters (Å, degrees): 6.8689 6.8722 6.4525 114.13 85.75 133.32
Last column: nearest neighbours and their distance in Å.
Element x y z (fractional)
Ac 0.4525 0.2453 0.6976  3 Li 3.32-3.37, 3 Dy 3.71-3.72
Ac 0.5475 0.7547 0.3024  3 Li 3.32-3.37, 3 Dy 3.71-3.72
Dy 0.1777 0.5955 0.7728  3 Li 3.15-3.39
Dy 0.8223 0.4045 0.2272  3 Li 3.15-3.39
Li 0.8586 0.9776 0.8356  1 Li 2.76
Li 0.1414 0.0224 0.1644  1 Li 2.76

Values from the calculation:
For the energy above the most stable polymorph in this dataset, the calculation gives 0.023 eV/atom. The value obtained for the formation energy is 113 meV/atom. For the total moment, the calculation gives 0.0 μB/f.u. Its space group is C2/m, No. 12.

=====

6.
Density functional theory data (GGA-PBE) for a relaxed LiAcDy2 crystal.

Lattice parameters (Å, degrees): 3.6397 3.6397 11.6402 81.03 81.03 60.05
Last column: nearest neighbours and their distance in Å.
Element x y z (fractional)
Dy 0.2568 0.2568 0.2291  3 Li 3.36, 6 Dy 3.64, 3 Ac 3.74
Dy 0.0763 0.0763 0.7706  3 Li 3.37, 6 Dy 3.64, 3 Ac 3.75
Li 0.6666 0.6666 0.0005  6 Dy 3.36-3.37, 6 Li 3.64
Ac 0.5003 0.5003 0.4997  6 Ac 3.64, 6 Dy 3.74-3.75

Values from the calculation:
For the energy above the most stable polymorph in this dataset, the calculation gives 0.084 eV/atom. The value obtained for the formation energy is 190 meV/atom. For the total moment, the calculation gives 0.0 μB/f.u. Its space group is R3m, No. 160.

=====

7.
Density functional theory data (GGA-PBE) for a relaxed LiAcDy2 crystal.

Lattice parameters (Å, degrees): 3.7901 3.7901 8.7487 90.00 90.00 90.00
Last column: nearest neighbours and their distance in Å.
Element x y z (fractional)
Ac 0.5000 0.5000 0.5000  8 Dy 3.71, 4 Ac 3.79
Li 0.5000 0.5000 0.0000  8 Dy 3.23
Dy 0.0000 0.0000 0.2060  4 Li 3.23, 1 Dy 3.60
Dy 0.0000 0.0000 0.7940  4 Li 3.23, 1 Dy 3.60

Values from the calculation:
For the energy above the most stable polymorph in this dataset, the calculation gives 0.000 eV/atom. The value obtained for the formation energy is 105 meV/atom. For the total moment, the calculation gives 0.0 μB/f.u. Its space group is P4/mmm, No. 123.

=====

8.
Density functional theory data (GGA-PBE) for a relaxed LiAcDy crystal.

Lattice parameters (Å, degrees): 3.9053 3.9053 6.8483 106.57 106.57 90.00
Last column: nearest neighbours and their distance in Å.
Element x y z (fractional)
Dy 0.0223 0.0223 0.0447  4 Li 3.22
Li 0.6549 0.6549 0.3098  4 Dy 3.22, 4 Ac 3.47
Ac 0.3227 0.3227 0.6455  4 Li 3.47, 5 Dy 3.73-3.76

Values from the calculation:
For the energy above the most stable polymorph in this dataset, the calculation gives 0.000 eV/atom. The value obtained for the formation energy is 90 meV/atom. For the total moment, the calculation gives 0.0 μB/f.u. Its space group is I4mm, No. 107.

=====

9.
Density functional theory data (GGA-PBE) for a relaxed LiAcDy2 crystal.

Lattice parameters (Å, degrees): 3.6066 3.6066 12.5577 81.74 81.74 60.00
Last column: nearest neighbours and their distance in Å.
Element x y z (fractional)
Li 0.0000 0.0000 0.0000  2 Dy 3.25, 6 Li 3.61
Ac 0.5000 0.5000 0.5000  6 Ac 3.61, 6 Dy 3.61
Dy 0.0874 0.0874 0.7379  1 Li 3.25, 6 Dy 3.61, 3 Ac 3.61
Dy 0.9126 0.9126 0.2621  1 Li 3.25, 6 Dy 3.61, 3 Ac 3.61

Values from the calculation:
For the energy above the most stable polymorph in this dataset, the calculation gives 0.162 eV/atom. The value obtained for the formation energy is 268 meV/atom. For the total moment, the calculation gives 0.0 μB/f.u. Its space group is R-3m, No. 166.

=====

10.
Density functional theory data (GGA-PBE) for a relaxed Li2AcDy crystal.

Lattice parameters (Å, degrees): 3.8724 3.8724 7.7786 90.00 90.00 90.00
Last column: nearest neighbours and their distance in Å.
Element x y z (fractional)
Li 0.0000 0.0000 0.2291  4 Dy 3.27, 4 Ac 3.45, 1 Li 3.56
Li 0.0000 0.0000 0.7709  4 Dy 3.27, 4 Ac 3.45, 1 Li 3.56
Ac 0.5000 0.5000 0.5000  8 Li 3.45
Dy 0.5000 0.5000 0.0000  8 Li 3.27

Values from the calculation:
For the energy above the most stable polymorph in this dataset, the calculation gives 0.000 eV/atom. The value obtained for the formation energy is 144 meV/atom. For the total moment, the calculation gives 0.0 μB/f.u. Its space group is P4/mmm, No. 123.

=====

11.
Density functional theory data (GGA-PBE) for a relaxed Li2AcDy crystal.

Lattice parameters (Å, degrees): 3.6154 3.6154 11.1512 80.67 80.67 60.00
Last column: nearest neighbours and their distance in Å.
Element x y z (fractional)
Li 0.2460 0.2460 0.2620  3 Dy 3.34, 3 Ac 3.55, 6 Li 3.62
Li 0.7540 0.7540 0.7380  3 Dy 3.34, 3 Ac 3.55, 6 Li 3.62
Dy 0.5000 0.5000 0.5000  6 Li 3.34, 6 Dy 3.62
Ac 0.0000 0.0000 0.0000  6 Li 3.55, 6 Ac 3.62

Values from the calculation:
For the energy above the most stable polymorph in this dataset, the calculation gives 0.069 eV/atom. The value obtained for the formation energy is 213 meV/atom. For the total moment, the calculation gives 0.0 μB/f.u. Its space group is R-3m, No. 166.

=====

12.
Density functional theory data (GGA-PBE) for a relaxed LiAcDy2 crystal.

Lattice parameters (Å, degrees): 5.6973 5.6973 5.6973 60.00 60.00 60.00
Last column: nearest neighbours and their distance in Å.
Element x y z (fractional)
Dy 0.7500 0.7500 0.7500  4 Ac 3.49, 4 Li 3.49
Dy 0.2500 0.2500 0.2500  4 Ac 3.49, 4 Li 3.49
Li 0.5000 0.5000 0.5000  8 Dy 3.49
Ac 0.0000 0.0000 0.0000  8 Dy 3.49

Values from the calculation:
For the energy above the most stable polymorph in this dataset, the calculation gives 0.157 eV/atom. The value obtained for the formation energy is 263 meV/atom. For the total moment, the calculation gives 0.0 μB/f.u. Its space group is Fm-3m, No. 225.

=====

13.
Density functional theory data (GGA-PBE) for a relaxed LiAcDy crystal.

Lattice parameters (Å, degrees): 3.7096 3.7096 8.5371 90.00 90.00 120.00
Last column: nearest neighbours and their distance in Å.
Element x y z (fractional)
Li 0.0000 0.0000 0.9898  3 Dy 3.40, 3 Ac 3.61, 6 Li 3.71
Dy 0.3333 0.6667 0.6802  3 Li 3.40, 3 Ac 3.68, 6 Dy 3.71
Ac 0.6667 0.3333 0.3299  3 Li 3.61, 3 Dy 3.68, 6 Ac 3.71

Values from the calculation:
For the energy above the most stable polymorph in this dataset, the calculation gives 0.067 eV/atom. The value obtained for the formation energy is 157 meV/atom. For the total moment, the calculation gives 0.0 μB/f.u. Its space group is P3m1, No. 156.

=====

14.
Density functional theory data (GGA-PBE) for a relaxed Li2AcDy crystal.

Lattice parameters (Å, degrees): 5.5127 5.5127 5.5127 60.00 60.00 60.00
Last column: nearest neighbours and their distance in Å.
Element x y z (fractional)
Li 0.7500 0.7500 0.7500  4 Ac 3.38, 4 Dy 3.38
Li 0.2500 0.2500 0.2500  4 Ac 3.38, 4 Dy 3.38
Dy 0.0000 0.0000 0.0000  8 Li 3.38
Ac 0.5000 0.5000 0.5000  8 Li 3.38

Values from the calculation:
For the energy above the most stable polymorph in this dataset, the calculation gives 0.015 eV/atom. The value obtained for the formation energy is 158 meV/atom. For the total moment, the calculation gives 0.0 μB/f.u. Its space group is Fm-3m, No. 225.

=====

15.
Density functional theory data (GGA-PBE) for a relaxed LiAcDyLu crystal.

Lattice parameters (Å, degrees): 5.6490 5.6490 5.6490 60.00 60.00 60.00
Last column: nearest neighbours and their distance in Å.
Element x y z (fractional)
Lu 0.5000 0.5000 0.5000  4 Ac 3.46, 4 Dy 3.46
Ac 0.7500 0.7500 0.7500  4 Lu 3.46, 4 Li 3.46
Dy 0.2500 0.2500 0.2500  4 Li 3.46, 4 Lu 3.46
Li 0.0000 0.0000 0.0000  4 Ac 3.46, 4 Dy 3.46

Values from the calculation:
The value obtained for the formation energy is 162 meV/atom. For the total moment, the calculation gives 0.0 μB/f.u. Its space group is F-43m, No. 216.

=====

16.
Density functional theory data (GGA-PBE) for a relaxed LiAcDyMg crystal.

Lattice parameters (Å, degrees): 5.5709 5.5709 5.5709 60.00 60.00 60.00
Last column: nearest neighbours and their distance in Å.
Element x y z (fractional)
Ac 0.2500 0.2500 0.2500  4 Mg 3.41, 4 Li 3.41
Mg 0.5000 0.5000 0.5000  4 Dy 3.41, 4 Ac 3.41
Dy 0.7500 0.7500 0.7500  4 Li 3.41, 4 Mg 3.41
Li 0.0000 0.0000 0.0000  4 Ac 3.41, 4 Dy 3.41

Values from the calculation:
The value obtained for the formation energy is 51 meV/atom. For the total moment, the calculation gives 0.0 μB/f.u. Its space group is F-43m, No. 216.

=====

17.
Density functional theory data (GGA-PBE) for a relaxed LiAcNdDy crystal.

Lattice parameters (Å, degrees): 5.7633 5.7633 5.7633 60.00 60.00 60.00
Last column: nearest neighbours and their distance in Å.
Element x y z (fractional)
Dy 0.2500 0.2500 0.2500  4 Ac 3.53, 4 Li 3.53
Li 0.0000 0.0000 0.0000  4 Dy 3.53, 4 Nd 3.53
Ac 0.5000 0.5000 0.5000  4 Nd 3.53, 4 Dy 3.53
Nd 0.7500 0.7500 0.7500  4 Ac 3.53, 4 Li 3.53

Values from the calculation:
The value obtained for the formation energy is 243 meV/atom. For the total moment, the calculation gives 0.0 μB/f.u. Its space group is F-43m, No. 216.

=====

18.
Density functional theory data (GGA-PBE) for a relaxed LiAcDyNi crystal.

Lattice parameters (Å, degrees): 5.1644 5.1644 5.1644 60.00 60.00 60.00
Last column: nearest neighbours and their distance in Å.
Element x y z (fractional)
Li 0.7500 0.7500 0.7500  4 Dy 3.16, 4 Ac 3.16
Ni 0.2500 0.2500 0.2500  4 Ac 3.16, 4 Dy 3.16
Ac 0.5000 0.5000 0.5000  4 Li 3.16, 4 Ni 3.16
Dy 0.0000 0.0000 0.0000  4 Ni 3.16, 4 Li 3.16

Values from the calculation:
The value obtained for the formation energy is -21 meV/atom. For the total moment, the calculation gives 0.0 μB/f.u. Its space group is F-43m, No. 216.

=====

19.
Density functional theory data (GGA-PBE) for a relaxed LiAcDyOs crystal.

Lattice parameters (Å, degrees): 5.1098 5.1098 5.1098 60.00 60.00 60.00
Last column: nearest neighbours and their distance in Å.
Element x y z (fractional)
Li 0.0000 0.0000 0.0000  4 Dy 3.13, 4 Ac 3.13
Os 0.5000 0.5000 0.5000  4 Ac 3.13, 4 Dy 3.13
Dy 0.7500 0.7500 0.7500  4 Li 3.13, 4 Os 3.13
Ac 0.2500 0.2500 0.2500  4 Li 3.13, 4 Os 3.13

Values from the calculation:
The value obtained for the formation energy is -49 meV/atom. For the total moment, the calculation gives 0.0 μB/f.u. Its space group is F-43m, No. 216.

=====

20.
Density functional theory data (GGA-PBE) for a relaxed LiAcDyPb crystal.

Lattice parameters (Å, degrees): 5.5659 5.5659 5.5659 60.00 60.00 60.00
Last column: nearest neighbours and their distance in Å.
Element x y z (fractional)
Ac 0.2500 0.2500 0.2500  4 Pb 3.41, 4 Li 3.41
Li 0.0000 0.0000 0.0000  4 Ac 3.41, 4 Dy 3.41
Dy 0.7500 0.7500 0.7500  4 Pb 3.41, 4 Li 3.41
Pb 0.5000 0.5000 0.5000  4 Dy 3.41, 4 Ac 3.41

Values from the calculation:
The value obtained for the formation energy is -232 meV/atom. For the total moment, the calculation gives 0.0 μB/f.u. Its space group is F-43m, No. 216.